(1)
VASP calculation (PBE) on a relaxed structure of YH2IrBr.

Cell: 3.826 5.060 3.826 Å, 90.00 90.00 90.00°
Positions (direct):
1 Y 0.500 0.500 0.500
2 Br 0.000 0.500 0.000
3 Ir 0.000 0.000 0.000
4 H 0.000 0.000 0.500
5 H 0.500 0.000 0.000

Properties
Total DFT energy (no corrections) = -4.791 eV/atom



(2)
VASP calculation (PBE) on a relaxed structure of AgPPb.

Cell: 4.353 4.355 8.410 Å, 90.00 90.00 119.99°
Positions (direct):
1 Ag 0.333 0.666 0.750
2 Ag 0.667 0.334 0.250
3 P 0.334 0.667 0.250
4 Pb 0.000 0.000 0.000
5 P 0.666 0.333 0.750
6 Pb 0.000 0.000 0.500

Properties
Distance to the lowest polymorph of the same formula = 0 meV per atom



(3)
VASP calculation (PBE) on a relaxed structure of La2Si7Pd12.

Cell: 3.931 10.072 10.072 Å, 120.00 90.00 90.00°
Positions (direct):
1 Si 0.500 0.000 0.000
2 Pd 0.249 0.940 0.561
3 Si 0.750 0.112 0.710
4 Pd 0.249 0.439 0.380
5 Pd 0.751 0.380 0.940
6 Si 0.250 0.402 0.112
7 La 0.752 0.667 0.333
8 Pd 0.249 0.620 0.060
9 Si 0.750 0.598 0.888
10 Pd 0.250 0.744 0.856
11 Pd 0.751 0.060 0.439
12 Si 0.750 0.290 0.402
13 Pd 0.750 0.888 0.744
14 Pd 0.750 0.256 0.144
15 La 0.248 0.333 0.667
16 Si 0.250 0.888 0.290
17 Pd 0.250 0.144 0.888
18 Pd 0.250 0.112 0.256
19 Pd 0.750 0.856 0.112
20 Pd 0.751 0.561 0.620
21 Si 0.250 0.710 0.598

Properties
ΔE_f (raw) = -77.6 kJ per mole of atoms



(4)
VASP calculation (PBE) on a relaxed structure of TiSbF2.

Cell: 10.358 10.358 10.358 Å, 16.58 16.58 16.58°
Positions (direct):
1 Ti 0.500 0.500 0.500
2 F 0.125 0.125 0.125
3 F 0.875 0.875 0.875
4 Sb 0.000 0.000 0.000

Properties
ΔE_f (raw) = -173.9 kJ per mole of atoms
Distance to the lowest polymorph of the same formula = 0 meV per atom



(5)
VASP calculation (PBE) on a relaxed structure of NaTb4Y3S8.

Cell: 7.861 7.861 7.861 Å, 120.01 120.00 90.00°
Positions (direct):
1 S 0.750 0.251 0.001
2 Tb 0.500 0.000 0.500
3 Tb 0.000 0.000 0.000
4 Na 0.000 0.500 0.000
5 S 0.250 0.749 0.500
6 Y 0.000 0.500 0.500
7 Tb 0.000 0.000 0.500
8 S 0.750 0.749 0.499
9 Y 0.500 0.500 0.500
10 S 0.750 0.251 0.500
11 S 0.250 0.749 0.999
12 Tb 0.500 0.000 0.000
13 Y 0.500 0.500 0.000
14 S 0.750 0.749 0.999
15 S 0.250 0.251 0.001
16 S 0.250 0.251 0.501

Properties
ΔE_f (raw) = -189.1 kJ per mole of atoms



(6)
VASP calculation (PBE) on a relaxed structure of PmThTlHg.

Cell: 5.458 5.458 5.458 Å, 60.00 60.00 60.00°
Positions (direct):
1 Tl 0.750 0.750 0.750
2 Pm 0.000 0.000 0.000
3 Hg 0.250 0.250 0.250
4 Th 0.500 0.500 0.500

Properties
Distance to the lowest polymorph of the same formula = 32 meV per atom



(7)
VASP calculation (PBE) on a relaxed structure of Sm2RuI.

Cell: 3.543 3.543 8.441 Å, 90.00 90.00 90.00°
Positions (direct):
1 Sm 0.000 0.000 0.200
2 I 0.500 0.500 0.500
3 Ru 0.500 0.500 0.000
4 Sm 0.000 0.000 0.800

Properties
ΔE_f (raw) = -52.0 kJ per mole of atoms
Distance to the lowest polymorph of the same formula = 73 meV per atom



(8)
VASP calculation (PBE) on a relaxed structure of Tb4HoAgS8.

Cell: 8.060 8.060 8.038 Å, 59.91 59.91 60.00°
Positions (direct):
1 Tb 0.004 0.487 0.504
2 S 0.758 0.758 0.725
3 Ag 0.375 0.375 0.874
4 S 0.773 0.241 0.745
5 S 0.241 0.241 0.745
6 S 0.243 0.243 0.272
7 S 0.760 0.224 0.256
8 S 0.241 0.773 0.745
9 Tb 0.625 0.625 0.126
10 S 0.760 0.760 0.256
11 Tb 0.487 0.004 0.504
12 Tb 0.004 0.004 0.504
13 S 0.224 0.760 0.256
14 Ho 0.004 0.004 0.987

Properties
ΔE_f (raw) = -176.4 kJ per mole of atoms



(9)
VASP calculation (PBE) on a relaxed structure of Rb3Na4Hg4.

Cell: 8.397 8.397 8.397 Å, 109.47 109.47 109.47°
Positions (direct):
1 Hg 0.371 0.371 0.371
2 Hg 0.000 0.629 0.000
3 Na 0.000 0.000 0.265
4 Rb 0.500 0.000 0.500
5 Rb 0.000 0.500 0.500
6 Hg 0.000 0.000 0.629
7 Rb 0.500 0.500 0.000
8 Hg 0.629 0.000 0.000
9 Na 0.265 0.000 0.000
10 Na 0.735 0.735 0.735
11 Na 0.000 0.265 0.000

Properties
Total DFT energy (no corrections) = -0.990 eV/atom



(10)
VASP calculation (PBE) on a relaxed structure of NbCr2As2.

Cell: 7.051 7.051 2.985 Å, 90.00 90.00 90.00°
Site moments in Bohr magnetons follow the coordinates.
Positions (direct):
1 As 0.153 0.347 0.000  -0.07
2 As 0.653 0.153 0.000  -0.07
3 Cr 0.360 0.140 0.500  1.73
4 As 0.847 0.653 0.000  -0.07
5 Cr 0.640 0.860 0.500  1.73
6 Cr 0.860 0.360 0.500  1.74
7 Cr 0.140 0.640 0.500  1.74
8 Nb 0.000 0.000 0.000  -0.21
9 Nb 0.500 0.500 0.000  -0.20
10 As 0.347 0.847 0.000  -0.07

Properties
Total DFT energy (no corrections) = -7.793 eV/atom



(11)
VASP calculation (PBE) on a relaxed structure of Rb4Nd3ThTe8.

Cell: 9.224 10.137 9.224 Å, 117.08 120.00 90.00°
Positions (direct):
1 Te 0.233 0.707 0.467
2 Rb 0.000 0.000 0.500
3 Te 0.264 0.293 0.528
4 Te 0.740 0.707 0.973
5 Nd 0.000 0.500 0.500
6 Te 0.233 0.707 0.973
7 Te 0.767 0.293 0.533
8 Th 0.000 0.500 0.000
9 Te 0.767 0.293 0.027
10 Rb 0.000 0.000 0.000
11 Te 0.736 0.707 0.472
12 Rb 0.500 0.000 0.500
13 Nd 0.500 0.500 0.500
14 Rb 0.500 0.000 0.000
15 Nd 0.500 0.500 0.000
16 Te 0.260 0.293 0.027

Properties
ΔE_f (raw) = -130.2 kJ per mole of atoms



(12)
VASP calculation (PBE) on a relaxed structure of EuDy2Co.

Cell: 3.775 3.775 10.574 Å, 79.72 79.72 60.00°
Site moments in Bohr magnetons follow the coordinates.
Positions (direct):
1 Dy 0.881 0.881 0.357  0.04
2 Eu 0.000 0.000 0.000  7.09
3 Dy 0.119 0.119 0.643  0.04
4 Co 0.500 0.500 0.500  0.06

Properties
Total DFT energy (no corrections) = -6.571 eV/atom



(13)
VASP calculation (PBE) on a relaxed structure of InCuPd.

Cell: 3.349 3.349 4.942 Å, 109.80 109.80 90.00°
Positions (direct):
1 Cu 0.287 0.287 0.575
2 In 0.618 0.618 0.236
3 Pd 0.945 0.945 0.889

Properties
Distance to the lowest polymorph of the same formula = 0 meV per atom



(14)
VASP calculation (PBE) on a relaxed structure of V5Si2Ge2.

Cell: 5.920 6.242 8.323 Å, 112.02 110.83 90.00°
Positions (direct):
1 V 0.882 0.305 0.500
2 V 0.226 0.622 0.818
3 V 0.313 0.015 0.328
4 Si 0.526 0.108 0.161
5 V 0.909 0.305 0.182
6 Ge 0.273 0.429 0.500
7 V 0.091 0.122 0.818
8 Ge 0.000 0.916 0.000
9 V 0.515 0.515 0.328
10 V 0.485 0.187 0.672
11 Si 0.474 0.948 0.839
12 Ge 0.727 0.929 0.500
13 Si 0.134 0.608 0.161
14 Ge 0.500 0.416 0.000
15 V 0.687 0.687 0.672
16 Si 0.866 0.448 0.839
17 V 0.118 0.805 0.500
18 V 0.774 0.805 0.182

Properties
ΔE_f (raw) = -6.3 kJ per mole of atoms



(15)
VASP calculation (PBE) on a relaxed structure of Pr2EuIr.

Cell: 3.647 3.647 9.657 Å, 90.00 90.00 90.00°
Site moments in Bohr magnetons follow the coordinates.
Positions (direct):
1 Ir 0.500 0.500 0.000  0.03
2 Eu 0.500 0.500 0.500  7.01
3 Pr 0.000 0.000 0.828  0.04
4 Pr 0.000 0.000 0.172  0.04

Properties
Distance to the lowest polymorph of the same formula = 72 meV per atom



(16)
VASP calculation (PBE) on a relaxed structure of Rb2CeF5.

Cell: 7.218 7.224 7.635 Å, 106.30 125.52 95.09°
Site moments in Bohr magnetons follow the coordinates.
Positions (direct):
1 Rb 0.664 0.072 0.283  0.00
2 F 0.196 0.805 0.000  -0.01
3 F 0.669 0.923 0.593  0.00
4 Ce 0.969 0.006 0.975  0.94
5 F 0.296 0.257 0.132  -0.01
6 F 0.876 0.837 0.133  -0.01
7 F 0.898 0.258 0.157  -0.01
8 Rb 0.211 0.619 0.282  0.00

Properties
ΔE_f (raw) = -314.9 kJ per mole of atoms
Distance to the lowest polymorph of the same formula = 132 meV per atom



(17)
VASP calculation (PBE) on a relaxed structure of Cs2V2Rh.

Cell: 6.423 6.423 6.444 Å, 90.00 90.00 90.00°
Positions (direct):
1 Cs 0.212 0.712 0.500
2 V 0.115 0.385 0.000
3 Rh 0.500 0.500 0.000
4 V 0.385 0.885 0.000
5 Cs 0.288 0.212 0.500
6 Rh 0.000 0.000 0.000
7 Cs 0.788 0.288 0.500
8 V 0.615 0.115 0.000
9 V 0.885 0.615 0.000
10 Cs 0.712 0.788 0.500

Properties
Distance to the lowest polymorph of the same formula = 0 meV per atom



(18)
VASP calculation (PBE) on a relaxed structure of AlAsSe3.

Cell: 4.848 4.848 4.848 Å, 90.00 90.00 90.00°
Positions (direct):
1 Se 0.500 0.000 0.000
2 Al 0.000 0.000 0.000
3 Se 0.000 0.000 0.500
4 As 0.500 0.500 0.500
5 Se 0.000 0.500 0.000

Properties
ΔE_f (raw) = 27.0 kJ per mole of atoms
Distance to the lowest polymorph of the same formula = 717 meV per atom



(19)
VASP calculation (PBE) on a relaxed structure of LaGe3Pd.

Cell: 4.914 4.914 4.914 Å, 90.00 90.00 90.00°
Positions (direct):
1 Ge 0.500 0.000 0.000
2 La 0.500 0.500 0.500
3 Ge 0.000 0.000 0.500
4 Pd 0.000 0.000 0.000
5 Ge 0.000 0.500 0.000

Properties
Total DFT energy (no corrections) = -4.955 eV/atom



(20)
VASP calculation (PBE) on a relaxed structure of CaPb2.

Cell: 5.528 5.528 3.598 Å, 90.00 90.00 120.00°
Positions (direct):
1 Pb 0.667 0.333 0.500
2 Ca 0.000 0.000 0.000
3 Pb 0.333 0.667 0.500

Properties
Total DFT energy (no corrections) = -3.456 eV/atom



(21)
VASP calculation (PBE) on a relaxed structure of CaTm2Zr.

Cell: 3.468 3.468 11.715 Å, 81.49 81.49 60.00°
Positions (direct):
1 Zr 0.666 0.666 0.001
2 Ca 0.500 0.500 0.499
3 Tm 0.259 0.259 0.224
4 Tm 0.074 0.074 0.777

Properties
Distance to the lowest polymorph of the same formula = 15 meV per atom



(22)
VASP calculation (PBE) on a relaxed structure of Sc2VAg.

Cell: 2.950 2.950 10.534 Å, 81.95 81.95 60.00°
Site moments in Bohr magnetons follow the coordinates.
Positions (direct):
1 Ag 0.500 0.500 0.500  0.00
2 V 0.000 0.000 0.000  1.09
3 Sc 0.085 0.085 0.744  0.09
4 Sc 0.915 0.915 0.256  0.09

Properties
Distance to the lowest polymorph of the same formula = 433 meV per atom



(23)
VASP calculation (PBE) on a relaxed structure of Tb2Dy3Hg2.

Cell: 5.354 5.359 8.504 Å, 108.29 90.00 119.97°
Positions (direct):
1 Tb 0.075 0.150 0.726
2 Dy 0.342 0.685 0.527
3 Dy 0.500 0.000 0.000
4 Dy 0.658 0.315 0.473
5 Hg 0.213 0.427 0.140
6 Tb 0.925 0.850 0.274
7 Hg 0.787 0.573 0.860

Properties
Distance to the lowest polymorph of the same formula = 0 meV per atom



(24)
VASP calculation (PBE) on a relaxed structure of Li4NiGe.

Cell: 4.367 4.864 7.922 Å, 72.12 90.00 90.00°
Positions (direct):
1 Li 0.750 0.041 0.917
2 Li 0.250 0.291 0.418
3 Ge 0.250 0.373 0.754
4 Ni 0.250 0.878 0.743
5 Li 0.750 0.709 0.582
6 Li 0.250 0.792 0.418
7 Li 0.750 0.542 0.917
8 Ge 0.750 0.627 0.246
9 Ni 0.750 0.122 0.257
10 Li 0.250 0.959 0.083
11 Li 0.250 0.458 0.083
12 Li 0.750 0.208 0.582

Properties
Total DFT energy (no corrections) = -3.242 eV/atom



Number 1: total moment 0.0 Bohr magnetons per cell. Number 2: total moment 0.0 Bohr magnetons per cell. Number 3: total moment 0.0 Bohr magnetons per cell. Number 4: total moment 0.0 Bohr magnetons per cell. Number 5: total moment 0.0 Bohr magnetons per cell. Number 6: total moment 0.0 Bohr magnetons per cell. Number 7: total moment 0.0 Bohr magnetons per cell. Number 8: total moment 0.0 Bohr magnetons per cell. Number 9: total moment 0.0 Bohr magnetons per cell. Number 10: total moment 6.5 Bohr magnetons per cell. Number 11: total moment 0.0 Bohr magnetons per cell. Number 12: total moment 7.9 Bohr magnetons per cell. Number 13: total moment 0.0 Bohr magnetons per cell. Number 14: total moment 0.0 Bohr magnetons per cell. Number 15: total moment 7.8 Bohr magnetons per cell. Number 16: total moment 1.0 Bohr magnetons per cell. Number 17: total moment 0.0 Bohr magnetons per cell. Number 18: total moment 0.0 Bohr magnetons per cell. Number 19: total moment 0.0 Bohr magnetons per cell. Number 20: total moment 0.0 Bohr magnetons per cell. Number 21: total moment 0.0 Bohr magnetons per cell. Number 22: total moment 1.4 Bohr magnetons per cell. Number 23: total moment 0.0 Bohr magnetons per cell. Number 24: total moment 0.0 Bohr magnetons per cell.